Record 1
Entry from Alexandria via LeMat-Bulk: AlRuPb2 after structural relaxation (PBE).

Cell: 9.4980 9.4980 4.8023 Å, 90.00 90.00 90.00°
Space group I-42d (No. 122)
Unique sites:
Al (0.0000, 0.0000, 0.0000) [4 per cell]
Ru (0.0000, 0.0000, 0.5000) [4 per cell]
Pb (0.1192, 0.7500, 0.6250) [8 per cell]

Values from the calculation:
**ρ**: 8317 kg/m³
**Energy relative to the elements**: 0.281 eV per atom
**Total magnetization**: 0.0 μB/f.u.
**Fermi-level density of states**: 3.54 states/eV/f.u.

Record 2
Entry from Alexandria via LeMat-Bulk: GaSb2As2 after structural relaxation (PBE).

Cell: 7.8984 7.8984 3.8727 Å, 90.00 90.00 90.00°
Space group P4/mbm (No. 127)
Unique sites:
Ga (0.0000, 0.0000, 0.0000) [2 per cell]
Sb (0.1547, 0.3453, 0.5000) [4 per cell]
As (0.1668, 0.6668, 0.0000) [4 per cell]

Values from the calculation:
**ρ**: 6366 kg/m³
**E above lowest polymorph**: 0.000 eV/atom
**Raw formation energy**: 0.198 eV/atom
**Total magnetization**: 0.0 μB/f.u.
**Fermi-level density of states**: 2.90 states/eV/f.u.

Record 3
Entry from Alexandria via LeMat-Bulk: Al2CuC2 after structural relaxation (PBE).

Cell: 6.3464 6.3464 2.6051 Å, 90.00 90.00 90.00°
Space group P4/mbm (No. 127)
Unique sites:
Al (0.1444, 0.3556, 0.0000) [4 per cell]
Cu (0.0000, 0.0000, 0.0000) [2 per cell]
C (0.1605, 0.6605, 0.5000) [4 per cell]

Values from the calculation:
**ρ**: 4480 kg/m³
**E above lowest polymorph**: 0.239 eV/atom
**Energy relative to the elements**: 1.101 eV per atom
**Total magnetization**: 0.0 μB/f.u.
**Fermi-level density of states**: 1.53 states/eV/f.u.

Record 4
Entry from Alexandria via LeMat-Bulk: InO after structural relaxation (PBE).

Cell: 6.4385 6.4385 6.4385 Å, 90.00 90.00 90.00°
Space group Pm-3n (No. 223)
Unique sites:
In (0.0000, 0.2500, 0.5000) [6 per cell]
O (0.0000, 0.5000, 0.2500) [6 per cell]

Values from the calculation:
**ρ**: 4883 kg/m³
**Raw formation energy**: -0.932 eV/atom
**Total magnetization**: 0.0 μB/f.u.
**Fermi-level density of states**: 0.90 states/eV/f.u.

Record 5
Entry from Alexandria via LeMat-Bulk: KRbTl2Sb after structural relaxation (PBE).

Cell: 4.8157 5.8968 14.2406 Å, 90.00 90.00 90.00°
Space group Imm2 (No. 44)
Unique sites:
K (0.0000, 0.0000, 0.0000) [2 per cell]
Rb (0.0000, 0.5000, 0.2643) [2 per cell]
Tl (0.0000, 0.0000, 0.5248) [2 per cell]
Tl (0.0000, 0.5000, 0.6733) [2 per cell]
Sb (0.0000, 0.5000, 0.8800) [2 per cell]

Values from the calculation:
**ρ**: 5380 kg/m³
**Raw formation energy**: -0.183 eV/atom
**Total magnetization**: 0.0 μB/f.u.
**Fermi-level density of states**: 2.41 states/eV/f.u.

Record 6
Entry from Alexandria via LeMat-Bulk: ReMo2Rh after structural relaxation (PBE).

Cell: 3.4092 4.1855 8.5749 Å, 90.00 90.00 90.00°
Space group Cmm2 (No. 35)
Unique sites:
Re (0.0000, 0.0000, 0.0000) [2 per cell]
Mo (0.0000, 0.0000, 0.5199) [2 per cell]
Mo (0.0000, 0.5000, 0.2568) [2 per cell]
Rh (0.0000, 0.5000, 0.7664) [2 per cell]

Values from the calculation:
**ρ**: 13055 kg/m³
**E above lowest polymorph**: 0.070 eV/atom
**Energy relative to the elements**: 0.067 eV per atom
**Total magnetization**: 0.0 μB/f.u.
**Fermi-level density of states**: 2.97 states/eV/f.u.

Q: The lowest ρ belongs to which entry?
A: Al2CuC2